Density functional theory data (GGA-PBE) for crystalline BaTe2Au at its relaxed geometry.

Summary:
Total magnetization ... 0.0 μB/f.u.
Relative energy among the computed polymorphs ... 45 meV/atom
E_form (uncorrected) ... -0.804 eV/atom

Cell lengths 4.9227, 4.5863, 6.9341 Å; angles 90.00, 106.39, 90.00 degrees
Space group Pm (No. 6)
Inequivalent atoms, fractional coordinates:
Ba 0.0000 0.0000 0.0000 [1 per cell]
Te 0.4440 0.5000 0.8335 [1 per cell]
Te 0.6108 0.0000 0.4465 [1 per cell]
Au 0.5907 0.5000 0.2373 [1 per cell]